Entry 1:
First-principles (PBE) data for a relaxed structure of PaCd, as listed in OQMD via LeMat-Bulk.

Unit cell a=6.8268 b=6.8268 c=6.8268 alpha=90.00 beta=90.00 gamma=90.00
Space group F-43m (No. 216)
Symmetry-distinct sites (fractional):
Pa  0.0000  0.0000  0.0000 (multiplicity 4)
Cd  0.2500  0.2500  0.2500 (multiplicity 4)

Calculated values
ΔE_f: 169.92 kJ/mol of atoms
spin magnetization: 0.5853 μB per atom
mass density: 7.170 g cm⁻³
volume: 39.770 A^3/atom

---

Entry 2:
First-principles (PBE) data for a relaxed structure of NaSrTbS3, as listed in OQMD via LeMat-Bulk.

Unit cell a=13.8434 b=4.1071 c=11.6785 alpha=90.00 beta=90.00 gamma=90.00
Space group Pnma (No. 62)
Symmetry-distinct sites (fractional):
Na  0.0190  0.2500  0.0859 (multiplicity 4)
Sr  0.2491  0.7500  0.9436 (multiplicity 4)
Tb  0.0055  0.2500  0.6554 (multiplicity 4)
S  0.1056  0.2500  0.8723 (multiplicity 4)
S  0.1090  0.2500  0.2748 (multiplicity 4)
S  0.1132  0.7500  0.5461 (multiplicity 4)

Calculated values
offset from the most stable computed form: 123 meV per atom
spin magnetization: 0.0004 μB per atom
mass density: 3.659 g cm⁻³
volume: 27.667 A^3/atom